The following is a PBE calculation of crystalline EuScCdHg at its relaxed geometry, from the Alexandria database.

Unit cell a=5.2607 b=5.2607 c=5.2607 alpha=60.00 beta=60.00 gamma=60.00
Last column: nearest neighbours and their distance in Å.
Fractional coordinates of all 4 atoms:
Eu (0.0000, 0.0000, 0.0000)  4 Hg 3.22, 4 Cd 3.22
Sc (0.5000, 0.5000, 0.5000)  4 Hg 3.22, 4 Cd 3.22
Cd (0.2500, 0.2500, 0.2500)  4 Sc 3.22, 4 Eu 3.22
Hg (0.7500, 0.7500, 0.7500)  4 Sc 3.22, 4 Eu 3.22

calculated formation energy	-318	meV/atom
space group	F-43m (216)
calculated total energy	-19.1	eV per cell